A geometry-optimized HfVAs2Br structure. Source: Alexandria, functional GGA-PBE.

```
5
Lattice="-1.492 -4.220 1.679 3.145 -2.234 -2.823 3.349 0.229 3.551" Properties=species:S:1:pos:R:3 pbc="T T T"
Br 1.675 0.114 1.775
As -0.746 -2.110 0.839
As 1.573 -1.117 -1.412
Hf 2.502 -3.113 1.203
V 0.000 0.000 0.000
```

Results
Its space group is No. 123. As for the density of states at the Fermi level: 4.25 states/eV/cell. The calculation puts the size of the total moment at 2.1 μB/f.u. The calculation puts the volume at 22.337 Å³ per atom. The calculation puts the total energy at -28.153 eV per formula unit. The calculation puts the uncorrected formation energy at 0.378 eV per atom.

A geometry-optimized LaZrIn2 structure. Source: Alexandria, functional GGA-PBE.

```
8
Lattice="-4.385 0.498 -1.870 0.268 -4.430 -1.810 -6.309 -5.871 7.090" Properties=species:S:1:pos:R:3 pbc="T T T"
Zr -2.059 -1.966 -1.840
Zr -4.050 -6.133 1.720
In -2.258 -4.140 0.280
In -3.985 -1.744 0.505
In -8.353 -7.541 2.221
In -6.258 -6.180 3.814
La -6.377 -3.669 1.690
La 0.000 0.000 0.000
```

Results
For the formation enthalpy at 0 K, the calculation gives 0.87 eV per formula unit. Its space group is No. 122. As for the density of states at the Fermi level: 9.65 states/eV/cell. The calculation puts the size of the total moment at 0.8 μB/f.u. The calculation puts the volume at 30.534 Å³ per atom. The calculation puts the total energy at -18.086 eV per formula unit.

A geometry-optimized Be2NiAs structure. Source: Alexandria, functional GGA-PBE.

```
4
Lattice="4.014 0.000 0.000 2.007 3.477 0.000 2.007 1.159 3.278" Properties=species:S:1:pos:R:3 pbc="T T T"
Be 6.022 3.477 2.458
Be 0.000 0.000 0.000
As 4.014 2.318 1.639
Ni 2.007 1.159 0.819
```

Results
For the formation enthalpy at 0 K, the calculation gives 0.97 eV per formula unit. Its space group is No. 216. As for the density of states at the Fermi level: 3.48 states/eV/cell. The calculation puts the size of the total moment at 0.0 μB/f.u. The calculation puts the volume at 11.436 Å³ per atom. The calculation puts the total energy at -16.914 eV per formula unit.

A geometry-optimized RbHf2F structure. Source: Alexandria, functional GGA-PBE.

```
8
Lattice="6.967 0.000 0.000 0.000 6.967 0.000 3.483 3.483 4.925" Properties=species:S:1:pos:R:3 pbc="T T T"
Hf 3.502 5.225 1.231
Hf 3.465 1.742 1.231
Hf 5.225 6.986 3.694
Hf 8.708 6.948 3.694
Rb 6.967 3.483 2.462
Rb 0.000 0.000 0.000
F 3.483 6.967 2.462
F 3.483 3.483 0.000
```

Results
Its space group is No. 122. As for the density of states at the Fermi level: 16.26 states/eV/cell. The calculation puts the size of the total moment at 0.0 μB/f.u. The calculation puts the volume at 29.879 Å³ per atom. The calculation puts the total energy at -22.168 eV per formula unit. The calculation puts the uncorrected formation energy at 0.144 eV per atom.

A geometry-optimized LaHfZr2 structure. Source: Alexandria, functional GGA-PBE.

```
4
Lattice="3.268 -0.001 0.000 1.633 2.831 0.000 1.633 0.943 10.987" Properties=species:S:1:pos:R:3 pbc="T T T"
Zr 1.630 0.941 8.496
Zr 1.630 0.941 2.505
La 3.271 1.889 5.486
Hf 4.902 2.830 10.980
```

Results
For the formation enthalpy at 0 K, the calculation gives 0.56 eV per formula unit. Its space group is No. 8. As for the density of states at the Fermi level: 5.91 states/eV/cell. The calculation puts the size of the total moment at 0.0 μB/f.u. The calculation puts the volume at 25.422 Å³ per atom. The calculation puts the total energy at -31.416 eV per formula unit.

A geometry-optimized KRbEu structure. Source: Alexandria, functional GGA-PBE.

```
3
Lattice="-2.810 1.489 -2.823 -2.825 -2.912 1.276 -0.987 7.671 8.234" Properties=species:S:1:pos:R:3 pbc="T T T"
Rb -4.035 1.516 1.613
Eu -6.597 6.202 6.636
K -2.613 4.780 5.123
```

Results
For the formation enthalpy at 0 K, the calculation gives 0.55 eV per formula unit. Its space group is No. 107. As for the density of states at the Fermi level: 2.75 states/eV/cell. The calculation puts the size of the total moment at 7.7 μB/f.u. The calculation puts the volume at 65.644 Å³ per atom. The calculation puts the total energy at -11.792 eV per formula unit.

A geometry-optimized TaTl2Pb structure. Source: Alexandria, functional GGA-PBE.

```
4
Lattice="-4.047 4.357 0.892 -5.202 -0.291 -3.001 3.383 -3.659 3.365" Properties=species:S:1:pos:R:3 pbc="T T T"
Tl -4.625 2.033 -1.055
Tl 0.000 0.000 0.000
Ta -2.644 1.365 1.601
Pb -3.222 -0.959 -0.346
```

Results
For the formation enthalpy at 0 K, the calculation gives 2.90 eV per formula unit. Its space group is No. 139. As for the density of states at the Fermi level: 3.74 states/eV/cell. The calculation puts the size of the total moment at 0.0 μB/f.u. The calculation puts the volume at 24.573 Å³ per atom. The calculation puts the total energy at -17.395 eV per formula unit.

A geometry-optimized CsSn3I8 structure. Source: Alexandria, functional GGA-PBE.

```
12
Lattice="-5.178 2.462 1.980 -0.324 -7.409 8.366 7.611 4.856 4.573" Properties=species:S:1:pos:R:3 pbc="T T T"
I 1.285 3.857 7.857
I 3.895 -2.253 12.989
I -0.669 -3.381 11.747
I 4.264 0.914 10.016
I -1.961 -0.036 4.210
I -1.035 -1.239 8.125
I 2.365 0.811 5.177
I 0.337 -5.446 7.654
Sn 4.136 3.258 6.766
Sn -2.300 -3.885 8.109
Sn -0.406 2.159 5.544
Cs 2.404 -2.509 9.408
```

Results
Its space group is No. 8. As for the density of states at the Fermi level: 4.62 states/eV/cell. The calculation puts the size of the total moment at 0.0 μB/f.u. The calculation puts the volume at 54.562 Å³ per atom. The calculation puts the total energy at -32.416 eV per formula unit. The calculation puts the uncorrected formation energy at -0.596 eV per atom.

A geometry-optimized LiZn3Pd4 structure. Source: Alexandria, functional GGA-PBE.

```
8
Lattice="-3.207 -0.334 -2.926 -1.607 -3.631 1.786 -1.135 5.284 4.083" Properties=species:S:1:pos:R:3 pbc="T T T"
Pd -0.885 0.823 0.876
Pd -2.658 2.479 2.637
Pd -5.065 0.496 2.068
Pd -3.292 -1.160 0.306
Zn -2.585 -0.154 2.661
Zn -0.804 -1.815 0.893
Zn -3.365 1.473 0.283
Li -1.604 -0.167 -1.463
```

Results
For the formation enthalpy at 0 K, the calculation gives -4.58 eV per formula unit. Its space group is No. 69. As for the density of states at the Fermi level: 1.75 states/eV/cell. The calculation puts the size of the total moment at 0.0 μB/f.u. The calculation puts the volume at 14.150 Å³ per atom. The calculation puts the total energy at -31.092 eV per formula unit.

A geometry-optimized K4RbNa structure. Source: Alexandria, functional GGA-PBE.

```
6
Lattice="4.741 0.000 0.000 0.000 4.741 0.000 0.000 0.000 18.363" Properties=species:S:1:pos:R:3 pbc="T T T"
K 0.000 0.000 11.555
K 2.370 2.370 3.561
K 0.000 0.000 6.808
K 2.370 2.370 14.802
Na 2.370 2.370 9.182
Rb 0.000 0.000 0.000
```

Results
For the formation enthalpy at 0 K, the calculation gives 0.06 eV per formula unit. Its space group is No. 123. As for the density of states at the Fermi level: 4.47 states/eV/cell. The calculation puts the size of the total moment at 0.0 μB/f.u. The calculation puts the volume at 68.780 Å³ per atom. The calculation puts the total energy at -6.614 eV per formula unit.

A geometry-optimized CrRhW structure. Source: Alexandria, functional GGA-PBE.

```
3
Lattice="4.174 0.000 0.000 2.087 3.615 0.000 2.087 1.205 3.408" Properties=species:S:1:pos:R:3 pbc="T T T"
Cr 0.000 0.000 0.000
W 6.262 3.615 2.556
Rh 4.174 2.410 1.704
```

Results
For the formation enthalpy at 0 K, the calculation gives 1.94 eV per formula unit. Its space group is No. 216. As for the density of states at the Fermi level: 3.09 states/eV/cell. The calculation puts the size of the total moment at 2.4 μB/f.u. The calculation puts the volume at 17.145 Å³ per atom. The calculation puts the total energy at -27.990 eV per formula unit.

A geometry-optimized Li7Cd3Pd2 structure. Source: Alexandria, functional GGA-PBE.

```
12
Lattice="-0.107 2.973 -0.133 -0.714 -0.229 -4.539 -14.573 -0.319 4.621" Properties=species:S:1:pos:R:3 pbc="T T T"
Li 0.000 0.000 0.000
Li -8.192 1.250 1.214
Li -12.474 1.021 -0.451
Li -2.920 1.404 0.400
Li -12.645 -0.368 1.975
Li -2.642 -0.180 -1.894
Li -7.202 1.175 -1.266
Pd -10.637 1.179 1.589
Pd -4.757 1.246 -1.641
Cd -9.921 -0.393 -0.772
Cd -0.411 1.372 -2.336
Cd -5.365 -0.155 0.854
```

Results
For the formation enthalpy at 0 K, the calculation gives -3.01 eV per formula unit. Its space group is No. 10. As for the density of states at the Fermi level: 4.76 states/eV/cell. The calculation puts the size of the total moment at 0.0 μB/f.u. The calculation puts the volume at 17.264 Å³ per atom. The calculation puts the total energy at -29.542 eV per formula unit.

A geometry-optimized Sr3Zn8Ag structure. Source: Alexandria, functional GGA-PBE.

```
12
Lattice="5.657 0.000 0.000 2.829 4.899 0.000 2.829 1.633 9.218" Properties=species:S:1:pos:R:3 pbc="T T T"
Zn 7.084 2.442 1.761
Zn 4.230 2.442 1.761
Zn 5.657 4.914 1.761
Zn 8.486 3.287 6.250
Zn 7.089 5.705 6.250
Zn 2.829 1.633 3.975
Zn 9.882 5.705 6.250
Zn 8.486 4.899 8.701
Sr 5.657 3.266 8.010
Sr 8.486 4.899 0.205
Sr 5.657 3.266 4.486
Ag 8.486 4.899 3.592
```

Results
For the formation enthalpy at 0 K, the calculation gives -1.63 eV per formula unit. Its space group is No. 160. As for the density of states at the Fermi level: 7.03 states/eV/cell. The calculation puts the size of the total moment at 0.0 μB/f.u. The calculation puts the volume at 21.288 Å³ per atom. The calculation puts the total energy at -19.721 eV per formula unit.

A geometry-optimized BaSeIN2 structure. Source: Alexandria, functional GGA-PBE.

```
5
Lattice="4.436 0.000 0.000 0.000 4.436 0.000 0.000 0.000 5.515" Properties=species:S:1:pos:R:3 pbc="T T T"
Ba 2.218 2.218 2.758
N 2.218 0.000 0.000
N 0.000 2.218 0.000
I 0.000 0.000 0.000
Se 0.000 0.000 2.758
```

Results
Its space group is No. 123. As for the density of states at the Fermi level: 2.92 states/eV/cell. The calculation puts the size of the total moment at 0.9 μB/f.u. The calculation puts the volume at 21.704 Å³ per atom. The calculation puts the total energy at -19.487 eV per formula unit. The calculation puts the uncorrected formation energy at 0.824 eV per atom.

A geometry-optimized Sr2LaAu structure. Source: Alexandria, functional GGA-PBE.

```
4
Lattice="4.142 0.000 0.000 0.000 4.253 -0.015 0.000 2.171 9.453" Properties=species:S:1:pos:R:3 pbc="T T T"
Sr 0.000 2.433 9.088
Sr 2.071 2.401 2.863
La 2.071 4.551 6.256
Au 0.000 2.422 5.402
```

Results
For the formation enthalpy at 0 K, the calculation gives -1.40 eV per formula unit. Its space group is No. 6. As for the density of states at the Fermi level: 3.94 states/eV/cell. The calculation puts the size of the total moment at 0.0 μB/f.u. The calculation puts the volume at 41.667 Å³ per atom. The calculation puts the total energy at -12.971 eV per formula unit.

A geometry-optimized Ac6CuOs2I3 structure. Source: Alexandria, functional GGA-PBE.

```
12
Lattice="-3.675 -0.484 6.686 7.619 -0.585 -0.225 -0.626 8.926 -1.153" Properties=species:S:1:pos:R:3 pbc="T T T"
Ac 2.690 0.895 4.383
Ac 4.477 6.434 2.780
Ac 0.628 6.962 0.924
Ac -1.158 1.422 2.528
Ac 0.522 6.470 5.200
Ac 2.796 1.386 0.108
I 1.659 3.928 2.654
I -2.107 3.962 4.958
I 5.425 3.894 0.349
Os 3.854 -0.552 2.079
Os 0.090 -0.518 4.382
Cu 0.000 0.000 0.000
```

Results
Its space group is No. 12. As for the density of states at the Fermi level: 2.54 states/eV/cell. The calculation puts the size of the total moment at 0.0 μB/f.u. The calculation puts the volume at 36.501 Å³ per atom. The calculation puts the total energy at -63.755 eV per formula unit. The calculation puts the uncorrected formation energy at -0.658 eV per atom.

A geometry-optimized Cu structure. Source: Alexandria, functional GGA-PBE.

```
1
Lattice="2.403 0.000 0.000 0.000 2.403 0.000 0.000 0.000 2.403" Properties=species:S:1:pos:R:3 pbc="T T T"
Cu 1.202 1.202 1.202
```

Results
For the formation enthalpy at 0 K, the calculation gives 0.47 eV per formula unit. Its space group is No. 221. As for the density of states at the Fermi level: 0.30 states/eV/cell. The calculation puts the size of the total moment at 0.0 μB/f.u. The calculation puts the volume at 13.877 Å³ per atom. The calculation puts the total energy at -3.628 eV per formula unit.

A geometry-optimized YGa2Sb structure. Source: Alexandria, functional GGA-PBE.

```
8
Lattice="-0.865 0.885 -7.886 -3.271 -7.267 -0.457 -4.858 -1.962 -3.728" Properties=species:S:1:pos:R:3 pbc="T T T"
Ga -7.330 -7.205 -10.105
Ga -3.349 -4.940 -2.041
Ga -5.127 -3.715 -5.915
Ga -2.182 -0.827 -6.080
Y -5.099 -6.210 -4.178
Y -2.068 -3.191 -4.171
Sb 0.000 0.000 0.000
Sb -3.895 -2.134 -7.892
```

Results
Its space group is No. 122. As for the density of states at the Fermi level: 4.03 states/eV/cell. The calculation puts the size of the total moment at 0.0 μB/f.u. The calculation puts the volume at 24.535 Å³ per atom. The calculation puts the total energy at -17.869 eV per formula unit. The calculation puts the uncorrected formation energy at -0.307 eV per atom.

A geometry-optimized TaAlZn structure. Source: Alexandria, functional GGA-PBE.

```
3
Lattice="-0.673 -4.214 0.857 3.367 1.206 -2.481 1.667 0.215 2.367" Properties=species:S:1:pos:R:3 pbc="T T T"
Al 1.391 0.179 1.974
Zn 3.408 -0.422 0.601
Ta 1.230 -2.336 0.533
```

Results
For the formation enthalpy at 0 K, the calculation gives -0.18 eV per formula unit. Its space group is No. 187. As for the density of states at the Fermi level: 2.07 states/eV/cell. The calculation puts the size of the total moment at 0.0 μB/f.u. The calculation puts the volume at 15.878 Å³ per atom. The calculation puts the total energy at -17.052 eV per formula unit.

A geometry-optimized FeIrAu2 structure. Source: Alexandria, functional GGA-PBE.

```
4
Lattice="-2.418 3.542 1.858 -2.297 0.547 -4.033 -2.047 -1.875 0.911" Properties=species:S:1:pos:R:3 pbc="T T T"
Au 0.000 0.000 0.000
Au -2.357 2.045 -1.088
Ir -2.172 -0.664 -1.561
Fe -2.232 0.833 1.385
```

Results
For the formation enthalpy at 0 K, the calculation gives 1.39 eV per formula unit. Its space group is No. 123. As for the density of states at the Fermi level: 3.41 states/eV/cell. The calculation puts the size of the total moment at 3.3 μB/f.u. The calculation puts the volume at 15.955 Å³ per atom. The calculation puts the total energy at -22.486 eV per formula unit.